Arrangement one

ZnHgP | PBE | optimized geometry

a = 6.513 Å, b = 6.345 Å, c = 3.186 Å
α = 78.59°, β = 72.75°, γ = 28.66°
Sites, in units of the cell vectors:
P: 0.303 0.303 0.697
Hg: 0.003 0.003 0.997
Zn: 0.694 0.694 0.306

Values from the calculation:
Its crystal system is orthorhombic. The value obtained for the total magnetization is 0.0 μB/f.u. The theoretical density comes out at 8.25 g/cm³. The space group is Fmm2, No. 42.

Arrangement two

ZnHgP | PBE | optimized geometry

a = 6.922 Å, b = 6.922 Å, c = 6.922 Å
α = 155.04°, β = 155.04°, γ = 35.58°
Sites, in units of the cell vectors:
Hg: 0.012 0.012 0.000
Zn: 0.687 0.687 0.000
P: 0.301 0.301 0.000

Values from the calculation:
Its crystal system is tetragonal. The value obtained for the total magnetization is 0.0 μB/f.u. The theoretical density comes out at 8.36 g/cm³. The space group is I4mm, No. 107.

Q: Which of them is the least stable? A: arrangement two.